Entry 1:
VASP calculation (PBE) on crystalline MgP3Pb at its relaxed geometry.

Cell lengths 4.873, 4.873, 4.873 Å; angles 90.00, 90.00, 90.00 degrees
Positions (direct):
1 Pb 0.500 0.500 0.500
2 P 0.000 0.500 0.000
3 P 0.000 0.000 0.500
4 P 0.500 0.000 0.000
5 Mg 0.000 0.000 0.000

Calculated values
magnetic moment: 0.00 μB/f.u.
VASP energy: -18.037 eV per formula unit
energy relative to the lowest polymorph listed for this composition: 0.000 eV/atom



Entry 2:
VASP calculation (PBE) on crystalline La4PmTl3 at its relaxed geometry.

Cell lengths 5.641, 5.641, 10.052 Å; angles 73.70, 73.70, 60.00 degrees
Positions (direct):
1 Tl 0.264 0.264 0.208
2 Tl 0.736 0.736 0.792
3 Tl 0.500 0.500 0.500
4 Pm 0.000 0.000 0.000
5 La 0.866 0.866 0.403
6 La 0.386 0.386 0.841
7 La 0.134 0.134 0.597
8 La 0.614 0.614 0.159

Calculated values
magnetic moment: 1.77 μB/f.u.
VASP energy: -33.734 eV per formula unit



Entry 3:
VASP calculation (PBE) on crystalline CuP2ClF at its relaxed geometry.

Cell lengths 4.455, 4.455, 4.686 Å; angles 90.00, 90.00, 90.00 degrees
Positions (direct):
1 P 0.000 0.500 0.000
2 P 0.500 0.000 0.000
3 F 0.500 0.500 0.500
4 Cu 0.000 0.000 0.000
5 Cl 0.000 0.000 0.500

Calculated values
magnetic moment: 0.00 μB/f.u.
formation energy (no corrections): 0.488 eV per atom
VASP energy: -16.194 eV per formula unit
energy relative to the lowest polymorph listed for this composition: 0.000 eV/atom



Entry 4:
VASP calculation (PBE) on crystalline Rb3Y3SnSe8 at its relaxed geometry.

Cell lengths 8.331, 8.331, 9.495 Å; angles 116.03, 90.00, 120.00 degrees
Positions (direct):
1 Rb 0.000 0.000 0.000
2 Rb 0.000 0.500 0.000
3 Rb 0.500 0.500 0.000
4 Y 0.500 0.000 0.500
5 Y 0.500 0.500 0.500
6 Y 0.000 0.500 0.500
7 Sn 0.000 0.000 0.500
8 Se 0.269 0.537 0.306
9 Se 0.731 0.463 0.694
10 Se 0.776 0.552 0.310
11 Se 0.224 0.448 0.690
12 Se 0.776 0.034 0.310
13 Se 0.224 0.966 0.690
14 Se 0.258 0.034 0.310
15 Se 0.742 0.966 0.690

Calculated values
magnetic moment: 0.00 μB/f.u.
formation energy (no corrections): -1.454 eV per atom
VASP energy: -75.983 eV per formula unit



Entry 5:
VASP calculation (PBE) on crystalline Ac2PrNd5Ho at its relaxed geometry.

Cell lengths 5.878, 10.802, 10.990 Å; angles 90.00, 90.00, 105.79 degrees
Positions (direct):
1 Ac 0.883 0.766 0.817
2 Ac 0.114 0.228 0.731
3 Ac 0.117 0.234 0.317
4 Ac 0.886 0.772 0.231
5 Pr 0.591 0.181 0.966
6 Pr 0.409 0.819 0.466
7 Nd 0.386 0.771 0.019
8 Nd 0.719 0.438 0.813
9 Nd 0.484 0.968 0.742
10 Nd 0.294 0.589 0.704
11 Nd 0.982 0.963 0.521
12 Nd 0.614 0.229 0.519
13 Nd 0.281 0.562 0.313
14 Nd 0.516 0.032 0.242
15 Nd 0.706 0.411 0.204
16 Nd 0.018 0.037 0.021
17 Ho 0.794 0.589 0.510
18 Ho 0.206 0.411 0.010

Calculated values
magnetic moment: 0.00 μB/f.u.
VASP energy: -40.211 eV per formula unit



Entry 6:
VASP calculation (PBE) on crystalline LaWN at its relaxed geometry.

Cell lengths 3.196, 3.104, 13.111 Å; angles 90.00, 90.00, 120.98 degrees
Positions (direct):
1 N 0.212 0.425 0.000
2 N 0.231 0.462 0.500
3 La 0.877 0.755 0.127
4 La 0.877 0.755 0.873
5 W 0.234 0.469 0.360
6 W 0.234 0.469 0.640

Calculated values
magnetic moment: 0.00 μB/f.u.
formation energy (no corrections): 0.363 eV per atom
VASP energy: -25.118 eV per formula unit



Entry 7:
VASP calculation (PBE) on crystalline Be2ReSb at its relaxed geometry.

Cell lengths 2.824, 2.824, 7.775 Å; angles 90.00, 90.00, 104.03 degrees
Positions (direct):
1 Re 0.500 0.500 0.250
2 Be 0.000 0.000 0.045
3 Be 0.000 0.000 0.455
4 Sb 0.500 0.500 0.750

Calculated values
magnetic moment: 0.00 μB/f.u.
formation energy (no corrections): 0.560 eV per atom
VASP energy: -21.783 eV per formula unit



Entry 8:
VASP calculation (PBE) on crystalline ZrTcAsPt2 at its relaxed geometry.

Cell lengths 4.811, 4.908, 4.811 Å; angles 90.00, 90.00, 90.00 degrees
Positions (direct):
1 Zr 0.000 0.500 0.000
2 As 0.500 0.500 0.500
3 Tc 0.000 0.000 0.000
4 Pt 0.000 0.000 0.500
5 Pt 0.500 0.000 0.000

Calculated values
magnetic moment: 0.00 μB/f.u.
VASP energy: -31.466 eV per formula unit



Entry 9:
VASP calculation (PBE) on crystalline BiAuI5 at its relaxed geometry.

Cell lengths 9.105, 9.105, 10.644 Å; angles 116.62, 116.61, 95.38 degrees
Positions (direct):
1 Bi 0.500 0.000 0.000
2 Bi 0.500 0.000 0.500
3 Au 0.822 0.678 0.250
4 Au 0.178 0.322 0.750
5 I 0.843 0.977 0.241
6 I 0.135 0.686 0.263
7 I 0.378 0.122 0.250
8 I 0.523 0.657 0.259
9 I 0.477 0.343 0.741
10 I 0.814 0.365 0.237
11 I 0.186 0.635 0.763
12 I 0.622 0.878 0.750
13 I 0.865 0.314 0.737
14 I 0.157 0.023 0.759

Calculated values
magnetic moment: 0.00 μB/f.u.
formation energy (no corrections): -0.220 eV per atom
VASP energy: -16.450 eV per formula unit



Entry 10:
VASP calculation (PBE) on crystalline NdSc3Ni at its relaxed geometry.

Cell lengths 5.004, 5.004, 5.004 Å; angles 90.00, 90.00, 90.00 degrees
Positions (direct):
1 Sc 0.000 0.500 0.000
2 Sc 0.000 0.000 0.500
3 Sc 0.500 0.000 0.000
4 Ni 0.000 0.000 0.000
5 Nd 0.500 0.500 0.500

Calculated values
magnetic moment: 0.00 μB/f.u.
VASP energy: -30.115 eV per formula unit



Entry 11:
VASP calculation (PBE) on crystalline PmNdEr3 at its relaxed geometry.

Cell lengths 3.632, 8.595, 11.571 Å; angles 90.00, 90.00, 102.20 degrees
Positions (direct):
1 Pm 0.988 0.471 0.250
2 Pm 0.012 0.529 0.750
3 Nd 0.311 0.122 0.250
4 Nd 0.689 0.878 0.750
5 Er 0.842 0.185 0.997
6 Er 0.158 0.815 0.003
7 Er 0.842 0.185 0.503
8 Er 0.158 0.815 0.497
9 Er 0.651 0.800 0.250
10 Er 0.349 0.200 0.750

Calculated values
magnetic moment: 0.01 μB/f.u.
VASP energy: -21.648 eV per formula unit
energy relative to the lowest polymorph listed for this composition: 0.296 eV/atom



Entry 12:
VASP calculation (PBE) on crystalline NpBeTc at its relaxed geometry.

Cell lengths 3.170, 7.433, 7.484 Å; angles 90.00, 90.00, 90.00 degrees
Positions (direct):
1 Np 0.250 0.367 0.511
2 Np 0.750 0.633 0.489
3 Np 0.250 0.133 0.011
4 Np 0.750 0.867 0.989
5 Be 0.250 0.624 0.796
6 Be 0.750 0.376 0.204
7 Be 0.250 0.876 0.296
8 Be 0.750 0.124 0.704
9 Tc 0.250 0.594 0.120
10 Tc 0.750 0.406 0.880
11 Tc 0.250 0.906 0.620
12 Tc 0.750 0.094 0.380

Calculated values
magnetic moment: 1.09 μB/f.u.
VASP energy: -26.954 eV per formula unit



Entry 13:
VASP calculation (PBE) on crystalline ZrAgHgPt at its relaxed geometry.

Cell lengths 4.743, 4.743, 4.743 Å; angles 60.00, 60.00, 60.00 degrees
Positions (direct):
1 Ag 0.750 0.750 0.750
2 Zr 0.500 0.500 0.500
3 Hg 0.000 0.000 0.000
4 Pt 0.250 0.250 0.250

Calculated values
magnetic moment: 0.00 μB/f.u.
VASP energy: -19.073 eV per formula unit



Entry 14:
VASP calculation (PBE) on crystalline CsSmEr4S8 at its relaxed geometry.

Cell lengths 8.240, 8.240, 8.401 Å; angles 60.63, 60.63, 60.00 degrees
Positions (direct):
1 Cs 0.368 0.368 0.895
2 Sm 0.006 0.006 0.982
3 Er 0.626 0.626 0.123
4 Er 0.004 0.487 0.505
5 Er 0.487 0.004 0.505
6 Er 0.004 0.004 0.505
7 S 0.235 0.812 0.718
8 S 0.812 0.235 0.718
9 S 0.235 0.235 0.718
10 S 0.226 0.226 0.323
11 S 0.755 0.232 0.259
12 S 0.232 0.755 0.259
13 S 0.755 0.755 0.259
14 S 0.757 0.757 0.730

Calculated values
magnetic moment: 0.00 μB/f.u.
formation energy (no corrections): -1.850 eV per atom
VASP energy: -82.750 eV per formula unit



Entry 15:
VASP calculation (PBE) on crystalline Li3CaAs2 at its relaxed geometry.

Cell lengths 4.273, 8.102, 8.102 Å; angles 58.26, 74.71, 74.71 degrees
Positions (direct):
1 Li 0.332 0.478 0.858
2 Li 0.000 0.340 0.661
3 Li 0.668 0.143 0.522
4 Li 0.332 0.857 0.478
5 Li 0.000 0.660 0.339
6 Li 0.668 0.522 0.142
7 Ca 0.864 0.136 0.137
8 Ca 0.136 0.864 0.863
9 As 0.500 0.158 0.842
10 As 0.500 0.842 0.158
11 As 0.805 0.695 0.695
12 As 0.195 0.305 0.305

Calculated values
magnetic moment: 0.00 μB/f.u.
VASP energy: -21.872 eV per formula unit



Entry 16:
VASP calculation (PBE) on crystalline CaTb6Y8 at its relaxed geometry.

Cell lengths 8.201, 8.201, 8.201 Å; angles 72.43, 72.43, 72.43 degrees
Positions (direct):
1 Ca 0.000 0.000 0.000
2 Tb 0.176 0.439 0.616
3 Tb 0.384 0.824 0.561
4 Tb 0.561 0.384 0.824
5 Tb 0.439 0.616 0.176
6 Tb 0.616 0.176 0.439
7 Tb 0.824 0.561 0.384
8 Y 0.134 0.627 0.949
9 Y 0.051 0.866 0.373
10 Y 0.373 0.051 0.866
11 Y 0.759 0.759 0.759
12 Y 0.241 0.241 0.241
13 Y 0.627 0.949 0.134
14 Y 0.949 0.134 0.627
15 Y 0.866 0.373 0.051

Calculated values
magnetic moment: 0.00 μB/f.u.
VASP energy: -78.463 eV per formula unit



Entry 17:
VASP calculation (PBE) on crystalline Cd2TeAu at its relaxed geometry.

Cell lengths 5.463, 5.463, 5.463 Å; angles 130.19, 130.19, 73.11 degrees
Positions (direct):
1 Te 0.250 0.750 0.500
2 Au 0.750 0.250 0.500
3 Cd 0.000 0.000 0.000
4 Cd 0.500 0.500 0.000

Calculated values
magnetic moment: 0.00 μB/f.u.
formation energy (no corrections): 0.064 eV per atom
VASP energy: -7.992 eV per formula unit